DFT (PBE-GGA) results for AlTlSe after structural relaxation.

```
AlTlSe
1.0
5.182 0.000 0.000
-2.591 4.488 0.000
0.000 0.000 3.078
Al Se Tl
1 1 1
direct
0.000 0.000 0.167
0.667 0.333 0.166
0.333 0.667 0.667
```

Distance to the lowest polymorph of the same formula: 38.3 kJ/mol of atoms
Energy relative to the elements, uncorrected: 0.274 eV/f.u.
Energy: -3.11 eV per atom